# YErNiRu

A geometry-optimized YErNiRu structure (PBE, Alexandria).

## Properties
* SG: F-43m, No. 216
* excess energy over the best structure of this formula in the dataset: 0.0194 eV per atom
* energy relative to the elements: -9.259 kcal/mol of atoms

Cell lengths 4.783, 4.783, 4.783 Å; angles 60.00, 60.00, 60.00 degrees
Fractional coordinates of all 4 atoms:
Y 0.000 0.000 0.000
Er 0.500 0.500 0.500
Ni 0.250 0.250 0.250
Ru 0.750 0.750 0.750